Computed, not measured: a geometry-optimized Li4Fe3Cu3Te2O16 structure at the PBE+U level of DFT.

Cell lengths 5.8859, 5.8937, 9.7368 Å; angles 86.90, 89.00, 60.80 degrees
With the nearest neighbours (Å) after each atom.
Atoms (fractional coordinates):
Li: 0.0000 0.0000 0.0000  4 O 1.87-2.03
Li: 0.0064 0.9871 0.5043  4 O 1.86-2.01
Li: 0.3349 0.3325 0.4334  4 O 1.94-2.04
Li: 0.6771 0.6788 0.9311  4 O 1.96-2.01
Fe: 0.1764 0.6529 0.7337  6 O 1.89-2.09
Fe: 0.3419 0.8353 0.2291  4 O 1.90-2.00
Fe: 0.8367 0.8224 0.2333  6 O 1.89-2.11
Cu: 0.1899 0.1533 0.7299  3 O 1.90-2.10
Cu: 0.6720 0.1705 0.7287  4 O 1.86-1.95
Cu: 0.8269 0.3357 0.2303  4 O 1.92-2.12
Te: 0.3404 0.3414 0.0021  6 O 1.96-2.01
Te: 0.6711 0.6596 0.5016  6 O 1.94-2.02
O: 0.0048 0.9890 0.8082  2 Cu 1.87-1.90, 1 Li 1.87, 1 Fe 1.91
O: 0.0076 0.9884 0.3130  1 Li 1.86, 2 Fe 1.91, 1 Cu 1.92
O: 0.0422 0.4834 0.8693  1 Li 1.98, 1 Fe 1.99, 1 Te 2.00
O: 0.1622 0.6558 0.1125  1 Te 1.99, 1 Li 2.03, 2 Fe 2.06-2.19
O: 0.1869 0.1514 0.1004  1 Te 1.96, 1 Fe 2.00, 1 Li 2.01
O: 0.3470 0.3380 0.6422  2 Cu 1.86-1.90, 1 Fe 1.89, 1 Li 2.04
O: 0.3467 0.8270 0.6085  1 Te 1.98, 1 Li 2.01, 1 Fe 2.09, 1 Cu 2.10
O: 0.4523 0.5391 0.8777  1 Te 1.96, 1 Li 1.96, 1 Fe 1.99
O: 0.4878 0.5478 0.3758  1 Li 1.94, 1 Te 1.98, 1 Fe 2.00
O: 0.5197 0.0500 0.8744  1 Cu 1.95, 1 Li 1.96, 1 Te 2.01
O: 0.5427 0.9680 0.3682  1 Te 2.00, 2 Fe 2.01-2.22, 1 Li 2.02
O: 0.6667 0.6759 0.1373  2 Fe 1.89-1.90, 1 Cu 1.93, 1 Li 2.01
O: 0.6702 0.1719 0.1098  1 Te 1.98, 1 Li 2.02, 1 Cu 2.05, 1 Fe 2.11
O: 0.8289 0.3191 0.6021  1 Cu 1.94, 1 Te 1.96, 1 Li 2.00
O: 0.8578 0.7911 0.6050  1 Te 1.94, 1 Li 1.97, 1 Fe 2.06
O: 0.9653 0.5126 0.3658  1 Fe 2.00, 1 Li 2.00, 1 Te 2.02, 1 Cu 2.12

Results
VASP energy (eV/f.u.): -154.383
Magnetization (μB per formula unit): 3.11